The following is a DFT calculation (PBE with a Hubbard U) of a relaxed structure of TmTl2Mo3O12.

Unit cell a=7.6116 b=7.6116 c=7.6116 alpha=58.91 beta=58.91 gamma=58.91
Each line ends with the local moment (μB).
Sites, in units of the cell vectors:
Tl  0.3358  0.3358  0.3358  0.01
Tl  0.6642  0.6642  0.6642  0.01
O  0.2993  0.2993  0.9388  0.07
O  0.0752  0.6489  0.0752  0.10
O  0.0752  0.0752  0.6489  0.10
O  0.3511  0.9248  0.9248  0.10
O  0.7007  0.7007  0.0612  0.07
O  0.7007  0.0612  0.7007  0.07
O  0.9248  0.9248  0.3511  0.10
O  0.9388  0.2993  0.2993  0.07
O  0.2993  0.9388  0.2993  0.07
O  0.9248  0.3511  0.9248  0.10
O  0.6489  0.0752  0.0752  0.10
O  0.0612  0.7007  0.7007  0.07
Mo  0.0000  0.5000  0.0000  -0.07
Mo  0.5000  0.0000  0.0000  -0.07
Mo  0.0000  0.0000  0.5000  -0.07
Tm  0.0000  0.0000  0.0000  0.02

Results
size of the total moment = 0.999 μB per formula unit
volume = 304 Å³ per cell
DFT total energy = -119.4 eV per cell